[1]
# BaAcPb2O8, relaxed, DFT PBE-GGA
data_BaAcPb2O8
_chemical_formula_sum 'Ba2 Ac2 Pb4 O16'
_symmetry_space_group_name_H-M 'I -4'
_symmetry_Int_Tables_number 82
_symmetry_space_group_name_Hall 'I -4'
_cell_length_a 5.849
_cell_length_b 5.849
_cell_length_c 12.139
_cell_angle_alpha 90.00
_cell_angle_beta 90.00
_cell_angle_gamma 90.00
loop_
_atom_site_label
_atom_site_fract_x
_atom_site_fract_y
_atom_site_fract_z
Ba1 0.000 0.000 0.000
Ac1 0.000 0.500 0.750
Pb1 0.000 0.000 0.500
Pb2 0.000 0.500 0.250
O1 0.178 0.237 0.601
O2 0.203 0.733 0.159
# E_tot = -5.772 eV per atom
# Uncorrected formation energy = -1345.7 meV/atom
# Total moment = 3.01 μB/f.u.

=====

[2]
# Ba3Ac3PbO8, relaxed, DFT PBE-GGA
data_Ba3Ac3PbO8
_chemical_formula_sum 'Ba9 Ac9 Pb3 O24'
_symmetry_space_group_name_H-M 'R -3 m'
_symmetry_Int_Tables_number 166
_symmetry_space_group_name_Hall '-R 3 2"'
_cell_length_a 7.6320
_cell_length_b 7.6320
_cell_length_c 19.0923
_cell_angle_alpha 90.00
_cell_angle_beta 90.00
_cell_angle_gamma 120.00
loop_
_atom_site_label
_atom_site_fract_x
_atom_site_fract_y
_atom_site_fract_z
Ba1 0.0000 0.5000 0.0000
Ac1 0.0000 0.5000 0.5000
Pb1 0.0000 0.0000 0.5000
O1 0.0000 0.0000 0.2402
O2 0.0029 0.5015 0.7638
# E_tot = -6.588 eV per atom
# Uncorrected formation energy = -2489.8 meV/atom
# Total moment = 0.00 μB/f.u.

=====

[3]
# BaAc2PbO5, relaxed, DFT PBE-GGA
data_BaAc2PbO5
_chemical_formula_sum 'Ba4 Ac8 Pb4 O20'
_symmetry_space_group_name_H-M 'I 4/m c m'
_symmetry_Int_Tables_number 140
_symmetry_space_group_name_Hall '-I 4 2c'
_cell_length_a 7.283
_cell_length_b 7.283
_cell_length_c 13.142
_cell_angle_alpha 90.00
_cell_angle_beta 90.00
_cell_angle_gamma 90.00
loop_
_atom_site_label
_atom_site_fract_x
_atom_site_fract_y
_atom_site_fract_z
Ba1 0.000 0.000 0.250
Ac1 0.175 0.325 0.000
Pb1 0.000 0.500 0.250
O1 0.000 0.000 0.000
O2 0.161 0.339 0.375
# E_tot = -6.753 eV per atom
# Uncorrected formation energy = -2460.0 meV/atom
# Total moment = 0.00 μB/f.u.

=====

[4]
# Ba2Ac3Pb3O2, relaxed, DFT PBE-GGA
data_Ba2Ac3Pb3O2
_chemical_formula_sum 'Ba4 Ac6 Pb6 O4'
_symmetry_space_group_name_H-M 'I 4/m m m'
_symmetry_Int_Tables_number 139
_symmetry_space_group_name_Hall '-I 4 2'
_cell_length_a 5.041
_cell_length_b 5.041
_cell_length_c 27.221
_cell_angle_alpha 90.00
_cell_angle_beta 90.00
_cell_angle_gamma 90.00
loop_
_atom_site_label
_atom_site_fract_x
_atom_site_fract_y
_atom_site_fract_z
Ba1 0.000 0.500 0.250
Ac1 0.000 0.000 0.000
Ac2 0.000 0.000 0.371
Pb1 0.000 0.000 0.130
Pb2 0.000 0.000 0.500
O1 0.000 0.000 0.286
# E_tot = -5.024 eV per atom
# Uncorrected formation energy = -1303.2 meV/atom
# Total moment = 0.00 μB/f.u.

=====

[5]
# BaAcPbO, relaxed, DFT PBE-GGA
data_BaAcPbO
_chemical_formula_sum 'Ba2 Ac2 Pb2 O2'
_symmetry_space_group_name_H-M 'I m m 2'
_symmetry_Int_Tables_number 44
_symmetry_space_group_name_Hall 'I 2 -2'
_cell_length_a 4.024
_cell_length_b 4.097
_cell_length_c 15.678
_cell_angle_alpha 90.00
_cell_angle_beta 90.00
_cell_angle_gamma 90.00
loop_
_atom_site_label
_atom_site_fract_x
_atom_site_fract_y
_atom_site_fract_z
Ba1 0.000 0.000 0.000
Ac1 0.000 0.000 0.302
Pb1 0.000 0.000 0.653
O1 0.000 0.500 0.886
# E_tot = -5.251 eV per atom
# Uncorrected formation energy = -1576.8 meV/atom
# Total moment = 0.00 μB/f.u.

=====

[6]
# BaAc2PbO6, relaxed, DFT PBE-GGA
data_BaAc2PbO6
_chemical_formula_sum 'Ba3 Ac6 Pb3 O18'
_symmetry_space_group_name_H-M 'R 3'
_symmetry_Int_Tables_number 146
_symmetry_space_group_name_Hall 'R 3'
_cell_length_a 6.3584
_cell_length_b 6.3584
_cell_length_c 16.3462
_cell_angle_alpha 90.00
_cell_angle_beta 90.00
_cell_angle_gamma 120.00
loop_
_atom_site_label
_atom_site_fract_x
_atom_site_fract_y
_atom_site_fract_z
Ba1 0.0000 0.0000 0.0000
Ac1 0.0000 0.0000 0.2663
Ac2 0.0000 0.0000 0.7712
Pb1 0.0000 0.0000 0.4793
O1 0.0030 0.3712 0.2080
O2 0.0176 0.7435 0.3842
# E_tot = -6.797 eV per atom
# Uncorrected formation energy = -2437.1 meV/atom
# Total moment = 0.00 μB/f.u.

=====

[7]
# Ba2Ac4Pb3O2, relaxed, DFT PBE-GGA
data_Ba2Ac4Pb3O2
_chemical_formula_sum 'Ba4 Ac8 Pb6 O4'
_symmetry_space_group_name_H-M 'I 4/m m m'
_symmetry_Int_Tables_number 139
_symmetry_space_group_name_Hall '-I 4 2'
_cell_length_a 5.243
_cell_length_b 5.243
_cell_length_c 28.058
_cell_angle_alpha 90.00
_cell_angle_beta 90.00
_cell_angle_gamma 90.00
loop_
_atom_site_label
_atom_site_fract_x
_atom_site_fract_y
_atom_site_fract_z
Ba1 0.000 0.000 0.199
Ac1 0.000 0.500 0.084
Pb1 0.000 0.000 0.331
Pb2 0.000 0.000 0.500
O1 0.000 0.000 0.094
# E_tot = -5.091 eV per atom
# Uncorrected formation energy = -1334.6 meV/atom
# Total moment = 0.00 μB/f.u.

=====

[8]
# Ba2AcPbO5, relaxed, DFT PBE-GGA
data_Ba2AcPbO5
_chemical_formula_sum 'Ba8 Ac4 Pb4 O20'
_symmetry_space_group_name_H-M 'C m c 21'
_symmetry_Int_Tables_number 36
_symmetry_space_group_name_Hall 'C 2c -2'
_cell_length_a 3.887
_cell_length_b 15.475
_cell_length_c 12.525
_cell_angle_alpha 90.00
_cell_angle_beta 90.00
_cell_angle_gamma 90.00
loop_
_atom_site_label
_atom_site_fract_x
_atom_site_fract_y
_atom_site_fract_z
Ba1 0.000 0.124 0.000
Ba2 0.000 0.130 0.527
Ac1 0.000 0.237 0.275
Pb1 0.000 0.490 0.761
O1 0.000 0.070 0.312
O2 0.000 0.272 0.645
O3 0.000 0.276 0.908
O4 0.000 0.386 0.348
O5 0.000 0.481 0.089
# E_tot = -6.341 eV per atom
# Uncorrected formation energy = -2290.8 meV/atom
# Total moment = 0.00 μB/f.u.

=====

[9]
# Ba2AcPbO6, relaxed, DFT PBE-GGA
data_Ba2AcPbO6
_chemical_formula_sum 'Ba4 Ac2 Pb2 O12'
_symmetry_space_group_name_H-M 'P 1 21/c 1'
_symmetry_Int_Tables_number 14
_symmetry_space_group_name_Hall '-P 2ybc'
_cell_length_a 6.364
_cell_length_b 6.394
_cell_length_c 10.965
_cell_angle_alpha 90.00
_cell_angle_beta 124.79
_cell_angle_gamma 90.00
loop_
_atom_site_label
_atom_site_fract_x
_atom_site_fract_y
_atom_site_fract_z
Ba1 0.237 0.032 0.248
Ac1 0.500 0.000 0.000
Pb1 0.000 0.000 0.500
O1 0.156 0.228 0.952
O2 0.223 0.708 0.954
O3 0.323 0.026 0.738
# E_tot = -6.292 eV per atom
# Uncorrected formation energy = -2150.7 meV/atom
# Total moment = 0.90 μB/f.u.

=====

[10]
# Ba2AcPbO4, relaxed, DFT PBE-GGA
data_Ba2AcPbO4
_chemical_formula_sum 'Ba2 Ac1 Pb1 O4'
_symmetry_space_group_name_H-M 'P 1 2/m 1'
_symmetry_Int_Tables_number 10
_symmetry_space_group_name_Hall '-P 2y'
_cell_length_a 7.041
_cell_length_b 3.752
_cell_length_c 7.385
_cell_angle_alpha 90.00
_cell_angle_beta 115.72
_cell_angle_gamma 90.00
loop_
_atom_site_label
_atom_site_fract_x
_atom_site_fract_y
_atom_site_fract_z
Ba1 0.000 0.000 0.000
Ba2 0.500 0.500 0.500
Ac1 0.000 0.000 0.500
Pb1 0.500 0.500 0.000
O1 0.071 0.500 0.298
O2 0.394 0.000 0.714
# E_tot = -6.145 eV per atom
# Uncorrected formation energy = -2207.9 meV/atom
# Total moment = 0.87 μB/f.u.

=====

[11]
# BaAc4Pd3O12, relaxed, DFT PBE-GGA
data_BaAc4Pd3O12
_chemical_formula_sum 'Ba2 Ac8 Pd6 O24'
_symmetry_space_group_name_H-M 'I m -3'
_symmetry_Int_Tables_number 204
_symmetry_space_group_name_Hall '-I 2 2 3'
_cell_length_a 8.827
_cell_length_b 8.827
_cell_length_c 8.827
_cell_angle_alpha 90.00
_cell_angle_beta 90.00
_cell_angle_gamma 90.00
loop_
_atom_site_label
_atom_site_fract_x
_atom_site_fract_y
_atom_site_fract_z
Ba1 0.000 0.000 0.000
Ac1 0.250 0.250 0.250
Pd1 0.000 0.000 0.500
O1 0.000 0.326 0.148
# E_tot = -6.635 eV per atom
# Uncorrected formation energy = -1963.1 meV/atom
# Total moment = 3.94 μB/f.u.

=====

[12]
# Ba2AcPdO5, relaxed, DFT PBE-GGA
data_Ba2AcPdO5
_chemical_formula_sum 'Ba4 Ac2 Pd2 O10'
_symmetry_space_group_name_H-M 'P 4/m b m'
_symmetry_Int_Tables_number 127
_symmetry_space_group_name_Hall '-P 4 2ab'
_cell_length_a 6.968
_cell_length_b 6.968
_cell_length_c 6.370
_cell_angle_alpha 90.00
_cell_angle_beta 90.00
_cell_angle_gamma 90.00
loop_
_atom_site_label
_atom_site_fract_x
_atom_site_fract_y
_atom_site_fract_z
Ba1 0.167 0.333 0.000
Ac1 0.000 0.000 0.500
Pd1 0.000 0.500 0.500
O1 0.000 0.000 0.000
O2 0.153 0.653 0.294
# E_tot = -6.257 eV per atom
# Uncorrected formation energy = -2041.3 meV/atom
# Total moment = 1.10 μB/f.u.

=====

[13]
# Ba3Ac3PdO8, relaxed, DFT PBE-GGA
data_Ba3Ac3PdO8
_chemical_formula_sum 'Ba6 Ac6 Pd2 O16'
_symmetry_space_group_name_H-M 'C 1 2/m 1'
_symmetry_Int_Tables_number 12
_symmetry_space_group_name_Hall '-C 2y'
_cell_length_a 12.879
_cell_length_b 7.660
_cell_length_c 7.653
_cell_angle_alpha 90.00
_cell_angle_beta 125.24
_cell_angle_gamma 90.00
loop_
_atom_site_label
_atom_site_fract_x
_atom_site_fract_y
_atom_site_fract_z
Ba1 0.000 0.000 0.000
Ba2 0.250 0.250 0.000
Ac1 0.000 0.500 0.500
Ac2 0.250 0.250 0.500
Pd1 0.000 0.000 0.500
O1 0.013 0.270 0.273
O2 0.219 0.000 0.694
O3 0.244 0.500 0.730
# E_tot = -6.598 eV per atom
# Uncorrected formation energy = -2401.0 meV/atom
# Total moment = 1.03 μB/f.u.

=====

[14]
# Ba2AcPd2O6, relaxed, DFT PBE-GGA
data_Ba2AcPd2O6
_chemical_formula_sum 'Ba6 Ac3 Pd6 O18'
_symmetry_space_group_name_H-M 'R -3 m'
_symmetry_Int_Tables_number 166
_symmetry_space_group_name_Hall '-R 3 2"'
_cell_length_a 6.2864
_cell_length_b 6.2864
_cell_length_c 19.2989
_cell_angle_alpha 90.00
_cell_angle_beta 90.00
_cell_angle_gamma 120.00
loop_
_atom_site_label
_atom_site_fract_x
_atom_site_fract_y
_atom_site_fract_z
Ba1 0.0000 0.0000 0.2059
Ac1 0.0000 0.0000 0.0000
Pd1 0.0000 0.0000 0.4205
O1 0.0271 0.5135 0.7613
# E_tot = -5.987 eV per atom
# Uncorrected formation energy = -1615.0 meV/atom
# Total moment = 1.67 μB/f.u.

=====

[15]
# Ba2AcPmO4, relaxed, DFT PBE-GGA
data_Ba2AcPmO4
_chemical_formula_sum 'Ba2 Ac1 Pm1 O4'
_symmetry_space_group_name_H-M 'P 1 2/m 1'
_symmetry_Int_Tables_number 10
_symmetry_space_group_name_Hall '-P 2y'
_cell_length_a 6.544
_cell_length_b 3.771
_cell_length_c 6.716
_cell_angle_alpha 90.00
_cell_angle_beta 108.76
_cell_angle_gamma 90.00
loop_
_atom_site_label
_atom_site_fract_x
_atom_site_fract_y
_atom_site_fract_z
Ba1 0.000 0.000 0.000
Ba2 0.500 0.500 0.000
Ac1 0.000 0.500 0.500
Pm1 0.500 0.000 0.500
O1 0.250 0.000 0.702
O2 0.282 0.500 0.305
# E_tot = -6.694 eV per atom
# Uncorrected formation energy = -2627.1 meV/atom
# Total moment = 0.00 μB/f.u.

=====

[16]
# Ba3Ac3PmO8, relaxed, DFT PBE-GGA
data_Ba3Ac3PmO8
_chemical_formula_sum 'Ba9 Ac9 Pm3 O24'
_symmetry_space_group_name_H-M 'R -3 m'
_symmetry_Int_Tables_number 166
_symmetry_space_group_name_Hall '-R 3 2"'
_cell_length_a 7.5976
_cell_length_b 7.5976
_cell_length_c 19.1378
_cell_angle_alpha 90.00
_cell_angle_beta 90.00
_cell_angle_gamma 120.00
loop_
_atom_site_label
_atom_site_fract_x
_atom_site_fract_y
_atom_site_fract_z
Ba1 0.0000 0.5000 0.0000
Ac1 0.0000 0.5000 0.5000
Pm1 0.0000 0.0000 0.5000
O1 0.0000 0.0000 0.2383
O2 0.0198 0.5099 0.2316
# E_tot = -6.940 eV per atom
# Uncorrected formation energy = -2773.0 meV/atom
# Total moment = 0.00 μB/f.u.

=====

[17]
# BaAc4PmO8, relaxed, DFT PBE-GGA
data_BaAc4PmO8
_chemical_formula_sum 'Ba3 Ac12 Pm3 O24'
_symmetry_space_group_name_H-M 'R 3 m'
_symmetry_Int_Tables_number 160
_symmetry_space_group_name_Hall 'R 3 -2"'
_cell_length_a 7.5766
_cell_length_b 7.5766
_cell_length_c 18.3075
_cell_angle_alpha 90.00
_cell_angle_beta 90.00
_cell_angle_gamma 120.00
loop_
_atom_site_label
_atom_site_fract_x
_atom_site_fract_y
_atom_site_fract_z
Ba1 0.0000 0.0000 0.0000
Ac1 0.0000 0.0000 0.2459
Ac2 0.1676 0.3353 0.4563
Pm1 0.0000 0.0000 0.6255
O1 0.0000 0.0000 0.3816
O2 0.0000 0.0000 0.8545
O3 0.0582 0.5291 0.3753
O4 0.1834 0.3668 0.2098
# E_tot = -7.550 eV per atom
# Uncorrected formation energy = -3066.6 meV/atom
# Total moment = 0.55 μB/f.u.

=====

[18]
# BaAc4PrO8, relaxed, DFT PBE-GGA
data_BaAc4PrO8
_chemical_formula_sum 'Ba3 Ac12 Pr3 O24'
_symmetry_space_group_name_H-M 'R 3 m'
_symmetry_Int_Tables_number 160
_symmetry_space_group_name_Hall 'R 3 -2"'
_cell_length_a 7.5968
_cell_length_b 7.5968
_cell_length_c 18.4075
_cell_angle_alpha 90.00
_cell_angle_beta 90.00
_cell_angle_gamma 120.00
loop_
_atom_site_label
_atom_site_fract_x
_atom_site_fract_y
_atom_site_fract_z
Ba1 0.0000 0.0000 0.0000
Ac1 0.0000 0.0000 0.2463
Ac2 0.1677 0.3355 0.4565
Pr1 0.0000 0.0000 0.6253
O1 0.0000 0.0000 0.3819
O2 0.0000 0.0000 0.8545
O3 0.0558 0.5279 0.3768
O4 0.1818 0.3636 0.2084
# E_tot = -7.535 eV per atom
# Uncorrected formation energy = -3049.0 meV/atom
# Total moment = 0.55 μB/f.u.

=====

[19]
# Ba2AcPrO4, relaxed, DFT PBE-GGA
data_Ba2AcPrO4
_chemical_formula_sum 'Ba2 Ac1 Pr1 O4'
_symmetry_space_group_name_H-M 'P 1 2/m 1'
_symmetry_Int_Tables_number 10
_symmetry_space_group_name_Hall '-P 2y'
_cell_length_a 6.584
_cell_length_b 3.805
_cell_length_c 6.717
_cell_angle_alpha 90.00
_cell_angle_beta 108.97
_cell_angle_gamma 90.00
loop_
_atom_site_label
_atom_site_fract_x
_atom_site_fract_y
_atom_site_fract_z
Ba1 0.000 0.000 0.000
Ba2 0.500 0.500 0.000
Ac1 0.000 0.500 0.500
Pr1 0.500 0.000 0.500
O1 0.245 0.000 0.705
O2 0.275 0.500 0.299
# E_tot = -6.677 eV per atom
# Uncorrected formation energy = -2606.0 meV/atom
# Total moment = 0.00 μB/f.u.